[1]
# AgPtF | Alexandria via LeMat-Bulk | PBE | optimized geometry
data_AgPtF
_symmetry_space_group_name_H-M 'C m c m'
_symmetry_Int_Tables_number 63
_symmetry_space_group_name_Hall '-C 2c 2'
_cell_length_a 3.8260
_cell_length_b 17.6190
_cell_length_c 2.9566
_cell_angle_alpha 90.00
_cell_angle_beta 90.00
_cell_angle_gamma 90.00
loop_
_atom_site_label
_atom_site_type_symbol
_atom_site_fract_x
_atom_site_fract_y
_atom_site_fract_z
_atom_site_occupancy
Ag1 Ag 0.0000 0.0812 0.2500 1
Pt1 Pt 0.0000 0.2258 0.7500 1
F1 F 0.0000 0.4243 0.2500 1
# E_form (uncorrected) (eV per atom): -0.372
# Theoretical density (Mg/m³): 10.7

---

[2]
# AgPtF6 | Alexandria via LeMat-Bulk | PBE | optimized geometry
data_AgPtF6
_symmetry_space_group_name_H-M 'P -3 1 c'
_symmetry_Int_Tables_number 163
_symmetry_space_group_name_Hall '-P 3 2c'
_cell_length_a 5.1996
_cell_length_b 5.1996
_cell_length_c 9.9999
_cell_angle_alpha 90.00
_cell_angle_beta 90.00
_cell_angle_gamma 120.00
loop_
_atom_site_label
_atom_site_type_symbol
_atom_site_fract_x
_atom_site_fract_y
_atom_site_fract_z
_atom_site_occupancy
Ag1 Ag 0.3333 0.6667 0.2500 1
Pt1 Pt 0.0000 0.0000 0.0000 1
F1 F 0.0202 0.3156 0.6139 1
# E_form (uncorrected) (eV per atom): -1.282
# Energy above the most stable polymorph in this dataset (meV per atom): 7
# Theoretical density (Mg/m³): 5.9

---

So what do the calculations give for E_tot? Going down the list: -3.960, -3.797 eV/atom.